(1)
Material: Nd2Sm2B2Br4Cl
Method: DFT, PBE
State: optimized geometry

```
Nd2Sm2B2Br4Cl
1.0
-6.8961 -3.0121 -7.1110
-4.4129 -6.1041 -7.1037
-3.3032 -2.6364 6.9029
B Br Cl Nd Sm
2 4 1 2 2
direct
0.4604 0.4604 0.4778 B
0.5396 0.5396 0.5222 B
0.8381 0.8381 0.1359 Br
0.1714 0.1714 0.3390 Br
0.8286 0.8286 0.6610 Br
0.1619 0.1619 0.8641 Br
0.5000 0.5000 0.0000 Cl
0.9991 0.9991 0.2867 Nd
0.0009 0.0009 0.7133 Nd
0.3405 0.3405 0.3990 Sm
0.6595 0.6595 0.6010 Sm
```

Properties
crystal system: monoclinic
M_tot: 0.00 μB per atom
VASP energy: -55.28 eV for the cell shown

(2)
Material: Nd2Sm2B2Br2Cl3
Method: DFT, PBE
State: optimized geometry

```
Nd2Sm2B2Br2Cl3
1.0
-3.5310 -2.5241 9.3454
-1.3064 -5.6716 8.5030
6.6119 4.2437 1.6052
B Br Cl Nd Sm
2 2 3 2 2
direct
0.4600 0.4600 0.4760 B
0.5400 0.5400 0.5240 B
0.1713 0.1713 0.3413 Br
0.8287 0.8287 0.6587 Br
0.5000 0.5000 0.0000 Cl
0.8392 0.8392 0.1489 Cl
0.1608 0.1608 0.8511 Cl
0.9980 0.9980 0.2849 Nd
0.0020 0.0020 0.7151 Nd
0.3396 0.3396 0.3898 Sm
0.6604 0.6604 0.6102 Sm
```

Properties
crystal system: monoclinic
M_tot: 0.00 μB per atom
VASP energy: -56.61 eV for the cell shown

(3)
Material: Nd2Y2BBr3Cl2
Method: DFT, PBE
State: optimized geometry

```
Nd2Y2BBr3Cl2
1.0
-5.3211 1.1683 7.5574
-4.6617 -2.7234 7.5924
7.5836 1.3096 2.7515
B Br Cl Nd Y
1 3 2 2 2
direct
0.5000 0.5000 0.0000 B
0.8326 0.8326 0.1785 Br
0.5000 0.5000 0.5000 Br
0.1674 0.1674 0.8215 Br
0.1563 0.1563 0.3390 Cl
0.8437 0.8437 0.6610 Cl
0.6466 0.6466 0.0862 Nd
0.3534 0.3534 0.9138 Nd
0.0003 0.0003 0.2092 Y
0.9997 0.9997 0.7909 Y
```

Properties
crystal system: monoclinic
M_tot: 0.00 μB per atom
VASP energy: -53.04 eV for the cell shown

(4)
Material: Pr4BBr3Cl2
Method: DFT, PBE
State: optimized geometry

```
Pr4BBr3Cl2
1.0
9.3184 -2.0399 0.0000
9.3184 2.0399 0.0000
-2.1008 0.0000 8.2826
B Br Cl Pr
1 3 2 4
direct
0.5000 0.5000 0.0000 B
0.8296 0.8296 0.1621 Br
0.5000 0.5000 0.5000 Br
0.1704 0.1704 0.8379 Br
0.1604 0.1604 0.3244 Cl
0.8396 0.8396 0.6756 Cl
0.6456 0.6456 0.0852 Pr
0.0000 0.0000 0.2146 Pr
0.0000 0.0000 0.7854 Pr
0.3544 0.3544 0.9148 Pr
```

Properties
crystal system: monoclinic
M_tot: 0.00 μB per atom
VASP energy: -49.55 eV for the cell shown

(5)
Material: Pr4BBrCl4
Method: DFT, PBE
State: optimized geometry

```
Pr4BBrCl4
1.0
-2.3041 -8.5212 2.9017
1.0071 -9.2135 0.6612
4.8936 3.2015 6.2429
B Br Cl Pr
1 1 4 4
direct
0.5000 0.5000 0.0000 B
0.5000 0.5000 0.5000 Br
0.8302 0.8302 0.1404 Cl
0.1651 0.1651 0.3303 Cl
0.8349 0.8349 0.6697 Cl
0.1698 0.1698 0.8596 Cl
0.6498 0.6498 0.0900 Pr
0.9991 0.9991 0.2140 Pr
0.0009 0.0009 0.7860 Pr
0.3502 0.3502 0.9100 Pr
```

Properties
crystal system: monoclinic
M_tot: 0.00 μB per atom
VASP energy: -50.88 eV for the cell shown

(6)
Material: Pr4BBr2Cl3
Method: DFT, PBE
State: optimized geometry

```
Pr4BBr2Cl3
1.0
9.3284 -2.0235 0.0000
9.3284 2.0235 0.0000
-2.0910 0.0000 8.0118
B Br Cl Pr
1 2 3 4
direct
0.5000 0.5000 0.0000 B
0.8300 0.8300 0.1665 Br
0.1700 0.1700 0.8335 Br
0.1608 0.1608 0.3379 Cl
0.5000 0.5000 0.5000 Cl
0.8392 0.8392 0.6621 Cl
0.6457 0.6457 0.0895 Pr
0.0003 0.0003 0.2228 Pr
0.9997 0.9997 0.7772 Pr
0.3543 0.3543 0.9105 Pr
```

Properties
crystal system: monoclinic
M_tot: 0.00 μB per atom
VASP energy: -50.18 eV for the cell shown

(7)
Material: Pr4BBr4Cl
Method: DFT, PBE
State: optimized geometry

```
Pr4BBr4Cl
1.0
-0.3363 -9.4728 1.4670
0.1470 -9.2390 -2.5724
8.0396 1.7766 1.0648
B Br Cl Pr
1 4 1 4
direct
0.5000 0.5000 0.0000 B
0.8293 0.8293 0.1688 Br
0.1639 0.1639 0.3535 Br
0.8361 0.8361 0.6465 Br
0.1707 0.1707 0.8312 Br
0.5000 0.5000 0.5000 Cl
0.6449 0.6449 0.0836 Pr
0.9985 0.9985 0.2213 Pr
0.0015 0.0015 0.7787 Pr
0.3551 0.3551 0.9164 Pr
```

Properties
crystal system: monoclinic
M_tot: 0.00 μB per atom
VASP energy: -48.81 eV for the cell shown

(8)
Material: Pr2Sm2BBr3Cl2
Method: DFT, PBE
State: optimized geometry

```
Pr2Sm2BBr3Cl2
1.0
-1.8645 -4.5375 -8.0009
-3.6286 -6.8891 -5.2397
-6.4560 5.6235 0.6645
B Br Cl Pr Sm
1 3 2 2 2
direct
0.5000 0.5000 0.0000 B
0.8269 0.8269 0.1560 Br
0.5000 0.5000 0.5000 Br
0.1731 0.1731 0.8440 Br
0.1638 0.1638 0.3131 Cl
0.8362 0.8362 0.6869 Cl
0.0002 0.0002 0.2144 Pr
0.9998 0.9998 0.7856 Pr
0.6446 0.6446 0.0811 Sm
0.3554 0.3554 0.9189 Sm
```

Properties
crystal system: monoclinic
M_tot: 0.00 μB per atom
VASP energy: -49.47 eV for the cell shown